No. 1
A relaxed structure of NaTiIrOs2. Source: Alexandria, functional PBE.

```
NaTiIrOs2
1.0
4.714 0.000 0.000
0.000 4.714 0.000
0.000 0.000 4.736
Na Ti Ir Os
1 1 1 2
Cartesian
0.000 0.000 0.000
2.357 2.357 0.000
0.000 0.000 2.368
0.000 2.357 2.368
2.357 0.000 2.368
```

Results
- Electronic total energy: -32.3 eV/f.u.
- DFT formation energy: 1.6508 eV per atom
- Volume: 21.046 Å³/atom

No. 2
A relaxed structure of CoPd2W. Source: Alexandria, functional PBE.

```
CoPd2W
1.0
0.000 3.078 3.078
3.078 0.000 3.078
3.078 3.078 0.000
Co Pd W
1 2 1
Cartesian
0.000 0.000 0.000
1.539 1.539 1.539
4.617 4.617 4.617
3.078 3.078 3.078
```

Results
- Electronic total energy: -29.0 eV/f.u.
- DFT formation energy: 0.3521 eV per atom
- Volume: 14.579 Å³/atom

No. 3
A relaxed structure of AlSb2Ir. Source: Alexandria, functional PBE.

```
AlSb2Ir
1.0
3.087 -3.846 0.000
3.087 3.846 0.000
0.000 0.000 3.365
Al Sb Ir
1 2 1
Cartesian
0.000 0.000 0.000
1.544 1.923 1.682
1.544 -1.923 1.682
3.087 0.000 0.000
```

Results
- Electronic total energy: -19.8 eV/f.u.
- Raw formation energy: 0.2743 eV/atom
- Volume: 19.976 Å³/atom

No. 4
A relaxed structure of TaRuPb4. Source: Alexandria, functional PBE.

```
TaRuPb4
1.0
0.000 4.333 4.333
4.333 0.000 4.333
4.333 4.333 0.000
Ta Ru Pb
1 1 4
Cartesian
0.000 0.000 0.000
2.167 2.167 2.167
5.417 3.249 3.249
3.249 5.417 3.249
3.249 3.249 5.417
5.417 5.417 5.417
```

Results
- Electronic total energy: -27.7 eV/f.u.
- DFT formation energy: 1.3798 eV per atom
- Volume: 27.118 Å³/atom

No. 5
A relaxed structure of Mn4TlCd. Source: Alexandria, functional PBE.

```
Mn4TlCd
1.0
0.000 3.575 3.575
3.575 0.000 3.575
3.575 3.575 0.000
Mn Tl Cd
4 1 1
Cartesian
0.897 0.897 0.897
2.678 2.678 0.897
2.678 0.897 2.678
0.897 2.678 2.678
5.363 5.363 5.363
3.575 3.575 3.575
```

Results
- Electronic total energy: -36.7 eV/f.u.
- DFT formation energy: 0.5432 eV per atom
- Volume: 15.234 Å³/atom

No. 6
A relaxed structure of NbZnAs2Se. Source: Alexandria, functional PBE.

```
NbZnAs2Se
1.0
5.063 0.000 0.000
0.000 5.063 0.000
0.000 0.000 4.978
Nb Zn As Se
1 1 2 1
Cartesian
0.000 0.000 0.000
2.532 2.532 2.489
0.000 2.532 0.000
2.532 0.000 0.000
0.000 0.000 2.489
```

Results
- Electronic total energy: -22.9 eV/f.u.
- Raw formation energy: 0.2384 eV/atom
- Volume: 25.521 Å³/atom

No. 7
A relaxed structure of SrTbTlI6. Source: Alexandria, functional PBE.

```
SrTbTlI6
1.0
8.205 0.000 0.000
-4.103 7.106 0.000
0.000 0.000 15.034
Sr Tb Tl I
2 2 2 12
Cartesian
0.000 4.737 3.759
4.103 2.369 11.276
0.000 4.737 11.276
4.103 2.369 3.759
0.000 0.000 0.000
0.000 0.000 7.517
-1.350 2.652 9.484
-2.481 4.611 13.067
1.350 2.652 13.067
-1.131 6.949 9.484
2.972 0.157 1.967
1.622 2.495 5.550
2.481 4.611 9.484
1.131 6.949 13.067
5.233 0.157 5.550
2.753 4.454 1.967
6.583 2.495 1.967
5.452 4.454 5.550
```

Results
- Electronic total energy: -30.0 eV/f.u.
- Raw formation energy: -1.3358 eV/atom
- Volume: 48.698 Å³/atom

No. 8
A relaxed structure of HgPbI2. Source: Alexandria, functional PBE.

```
HgPbI2
1.0
2.315 1.336 10.266
-2.315 1.336 10.266
0.000 -2.673 10.266
Hg Pb I
1 1 2
Cartesian
0.000 0.000 0.000
0.000 0.000 15.399
0.000 0.000 7.017
0.000 0.000 23.781
```

Results
- Electronic total energy: -8.9 eV/f.u.
- Raw formation energy: -0.4570 eV/atom
- Volume: 47.620 Å³/atom

No. 9
A relaxed structure of DyTlRh2. Source: Alexandria, functional PBE.

```
DyTlRh2
1.0
4.504 0.000 0.000
0.000 4.504 0.000
0.000 0.000 3.665
Dy Tl Rh
1 1 2
Cartesian
0.000 0.000 0.000
2.252 2.252 0.000
0.000 2.252 1.832
2.252 0.000 1.832
```

Results
- Electronic total energy: -23.9 eV/f.u.
- DFT formation energy: -0.5658 eV per atom
- Volume: 18.587 Å³/atom

No. 10
A relaxed structure of Zr2FeRh. Source: Alexandria, functional PBE.

```
Zr2FeRh
1.0
0.000 3.235 3.235
3.235 0.000 3.235
3.235 3.235 0.000
Zr Fe Rh
2 1 1
Cartesian
0.000 0.000 0.000
1.617 1.617 1.617
4.852 4.852 4.852
3.235 3.235 3.235
```

Results
- Electronic total energy: -33.7 eV/f.u.
- DFT formation energy: -0.2016 eV per atom
- Volume: 16.925 Å³/atom

No. 11
A relaxed structure of Si2IrW2. Source: Alexandria, functional PBE.

```
Si2IrW2
1.0
7.136 0.000 0.000
0.000 7.136 0.000
0.000 0.000 2.983
Si Ir W
4 2 4
Cartesian
1.187 2.381 0.000
2.381 5.949 0.000
4.755 1.187 0.000
5.949 4.755 0.000
0.000 0.000 1.491
3.568 3.568 1.491
0.934 4.502 1.491
2.634 0.934 1.491
4.502 6.202 1.491
6.202 2.634 1.491
```

Results
- Electronic total energy: -44.2 eV/f.u.
- Raw formation energy: 0.2808 eV/atom
- Volume: 15.190 Å³/atom

No. 12
A relaxed structure of Pr6SiSb2. Source: Alexandria, functional PBE.

```
Pr6SiSb2
1.0
8.553 0.000 0.000
-4.277 7.408 0.000
0.000 0.000 4.378
Pr Si Sb
6 1 2
Cartesian
-1.052 1.821 0.000
-2.508 4.344 2.189
2.103 0.000 0.000
1.769 3.063 2.189
5.016 0.000 2.189
3.225 5.586 0.000
0.000 0.000 2.189
0.000 4.938 0.000
4.277 2.469 0.000
```

Results
- Electronic total energy: -48.8 eV/f.u.
- Raw formation energy: -0.7222 eV/atom
- Volume: 30.821 Å³/atom

No. 13
A relaxed structure of Tb4ScZn. Source: Alexandria, functional PBE.

```
Tb4ScZn
1.0
3.536 0.000 0.000
0.000 3.536 0.000
0.000 0.000 13.321
Tb Sc Zn
4 1 1
Cartesian
0.000 0.000 1.802
0.000 0.000 11.519
1.768 1.768 4.369
1.768 1.768 8.952
0.000 0.000 6.660
1.768 1.768 0.000
```

Results
- Electronic total energy: -26.6 eV/f.u.
- DFT formation energy: -0.0858 eV per atom
- Volume: 27.766 Å³/atom

No. 14
A relaxed structure of ZrZn2As. Source: Alexandria, functional PBE.

```
ZrZn2As
1.0
2.870 0.000 0.000
0.000 4.997 0.000
-0.008 0.000 4.966
Zr Zn As
1 2 1
Cartesian
0.000 0.000 0.000
1.422 2.499 3.760
1.439 2.499 1.206
1.431 0.000 2.483
```

Results
- Electronic total energy: -16.6 eV/f.u.
- DFT formation energy: -0.2017 eV per atom
- Volume: 17.804 Å³/atom

No. 15
A relaxed structure of Pr2MgMnSe5. Source: Alexandria, functional PBE.

```
Pr2MgMnSe5
1.0
2.071 -8.578 0.000
2.071 8.578 0.000
0.000 0.000 12.336
Pr Mg Mn Se
4 2 2 10
Cartesian
2.071 6.498 6.168
2.071 6.470 10.561
2.071 -6.470 4.393
2.071 -6.498 0.000
2.071 5.376 2.395
2.071 -5.376 8.564
2.071 0.999 7.338
2.071 -0.999 1.170
2.071 8.241 2.312
2.071 3.388 10.382
2.071 3.321 6.450
2.071 2.733 2.193
2.071 0.064 11.297
2.071 -0.064 5.128
2.071 -2.733 8.361
2.071 -3.321 0.282
2.071 -3.388 4.214
2.071 -8.241 8.480
```

Results
- Electronic total energy: -50.3 eV/f.u.
- Raw formation energy: -1.3967 eV/atom
- Volume: 24.351 Å³/atom

No. 16
A relaxed structure of Li2Hg2Pd. Source: Alexandria, functional PBE.

```
Li2Hg2Pd
1.0
7.183 0.000 0.000
0.000 7.183 0.000
0.000 0.000 3.277
Li Hg Pd
4 4 2
Cartesian
0.987 2.604 0.000
2.604 6.196 0.000
4.579 0.987 0.000
6.196 4.579 0.000
1.161 4.752 1.638
2.431 1.161 1.638
4.752 6.022 1.638
6.022 2.431 1.638
0.000 0.000 0.000
3.591 3.591 0.000
```

Results
- Electronic total energy: -10.8 eV/f.u.
- DFT formation energy: -0.2315 eV per atom
- Volume: 16.905 Å³/atom

No. 17
A relaxed structure of PmPr2Sn6. Source: Alexandria, functional PBE.

```
PmPr2Sn6
1.0
-2.267 3.506 8.624
2.267 -3.506 8.624
2.267 3.506 -8.624
Pm Pr Sn
1 2 6
Cartesian
0.000 0.000 0.000
2.267 0.000 7.606
0.000 3.506 2.993
2.267 -1.471 4.310
2.267 1.475 -2.331
2.267 1.977 1.104
2.267 1.471 4.310
0.000 2.031 6.293
0.000 1.529 9.728
```

Results
- Electronic total energy: -42.8 eV/f.u.
- DFT formation energy: -0.4944 eV per atom
- Volume: 30.459 Å³/atom

No. 18
A relaxed structure of AsPRh. Source: Alexandria, functional PBE.

```
AsPRh
1.0
4.093 -1.624 0.000
4.093 1.624 0.000
-3.826 0.000 4.440
As P Rh
1 1 1
Cartesian
0.000 0.000 0.000
5.821 0.000 2.724
-0.012 0.000 2.502
```

Results
- Electronic total energy: -17.9 eV/f.u.
- DFT formation energy: -0.1552 eV per atom
- Volume: 19.668 Å³/atom

No. 19
A relaxed structure of PRu3. Source: Alexandria, functional PBE.

```
PRu3
1.0
2.826 0.000 0.000
0.000 3.869 0.000
-1.290 0.000 4.956
P Ru
1 3
Cartesian
0.000 0.000 0.000
-0.645 0.000 2.478
0.725 1.934 1.168
0.811 1.934 3.788
```

Results
- Electronic total energy: -33.6 eV/f.u.
- DFT formation energy: -0.0966 eV per atom
- Volume: 13.547 Å³/atom

No. 20
A relaxed structure of ZnGaN3. Source: Alexandria, functional PBE.

```
ZnGaN3
1.0
3.908 0.000 0.000
0.000 3.908 0.000
0.000 0.000 3.908
Zn Ga N
1 1 3
Cartesian
0.000 0.000 0.000
1.954 1.954 1.954
0.000 1.954 1.954
1.954 0.000 1.954
1.954 1.954 0.000
```

Results
- Electronic total energy: -20.9 eV/f.u.
- Raw formation energy: 1.6803 eV/atom
- Volume: 11.940 Å³/atom

No. 21
A relaxed structure of TbNd8Ho4. Source: Alexandria, functional PBE.

```
TbNd8Ho4
1.0
3.649 2.107 9.630
-3.649 2.107 9.630
0.000 -4.213 9.630
Tb Nd Ho
1 8 4
Cartesian
0.000 0.000 0.000
0.000 -1.912 11.637
-1.656 0.956 11.637
0.000 0.000 8.297
-1.656 -0.956 17.252
1.656 0.956 11.637
0.000 0.000 20.593
1.656 -0.956 17.252
0.000 1.912 17.252
-3.649 0.000 14.445
-1.824 1.053 4.815
1.824 1.053 4.815
0.000 0.000 14.445
```

Results
- Electronic total energy: -58.6 eV/f.u.
- DFT formation energy: 0.1893 eV per atom
- Volume: 34.164 Å³/atom

No. 22
A relaxed structure of MgTl2Cl8. Source: Alexandria, functional PBE.

```
MgTl2Cl8
1.0
10.143 -1.795 0.000
10.143 1.795 0.000
-0.390 0.000 8.778
Mg Tl Cl
1 2 8
Cartesian
0.000 0.000 0.000
6.783 0.000 2.421
13.112 0.000 6.357
1.821 0.000 4.814
2.314 0.000 8.298
4.952 0.000 6.218
9.449 0.000 7.149
10.447 0.000 1.629
14.944 0.000 2.560
17.581 0.000 0.480
18.075 0.000 3.964
```

Results
- Electronic total energy: -30.9 eV/f.u.
- Raw formation energy: -0.8918 eV/atom
- Volume: 29.061 Å³/atom

No. 23
A relaxed structure of NaCa2SnS4. Source: Alexandria, functional PBE.

```
NaCa2SnS4
1.0
6.891 0.000 0.000
0.000 4.022 0.000
-2.191 0.000 6.619
Na Ca Sn S
1 2 1 4
Cartesian
0.000 0.000 0.000
2.350 0.000 3.309
3.446 2.011 0.000
-1.096 2.011 3.309
0.075 0.000 4.929
1.139 2.011 1.754
3.561 2.011 4.865
4.625 0.000 1.689
```

Results
- Electronic total energy: -36.7 eV/f.u.
- Raw formation energy: -1.3571 eV/atom
- Volume: 22.932 Å³/atom

No. 24
A relaxed structure of DyErTlS. Source: Alexandria, functional PBE.

```
DyErTlS
1.0
3.271 -1.889 0.000
3.271 1.889 0.000
-2.167 0.000 8.082
Dy Er Tl S
1 1 1 1
Cartesian
0.000 0.000 0.000
4.366 0.000 3.195
0.007 0.000 5.623
2.183 0.000 1.642
```

Results
- Electronic total energy: -20.2 eV/f.u.
- Raw formation energy: -1.1375 eV/atom
- Volume: 24.975 Å³/atom

No. 25
A relaxed structure of CaBrF6. Source: Alexandria, functional PBE.

```
CaBrF6
1.0
2.765 -4.065 0.000
2.765 4.065 0.000
-0.838 0.000 5.407
Ca Br F
1 1 6
Cartesian
0.000 0.000 0.000
2.346 0.000 2.704
1.483 1.260 1.233
0.701 0.000 3.626
1.483 -1.260 1.233
3.209 1.260 4.175
3.991 0.000 1.781
3.209 -1.260 4.175
```

Results
- Electronic total energy: -29.7 eV/f.u.
- Raw formation energy: -1.8545 eV/atom
- Volume: 15.196 Å³/atom